AcIn2SnSe4 | PBE | relaxed

Cell: 7.618 4.419 7.639 Å, 90.00 109.44 90.00°
Sites, in units of the cell vectors:
Ac (0.000, 0.000, 0.000)
In (0.000, 0.500, 0.500)
In (0.500, 0.000, 0.500)
Sn (0.500, 0.500, 0.000)
Se (0.250, 0.500, 0.241)
Se (0.256, 0.000, 0.759)
Se (0.744, 0.000, 0.241)
Se (0.750, 0.500, 0.759)

The value obtained for the total energy is -4.268 eV per atom. The formation energy without anion corrections comes out at -827.5 meV/atom. As for the density: 6102 kg/m³.



ZrNbTl2 | PBE | relaxed

Cell: 6.354 6.354 6.354 Å, 103.28 103.28 122.71°
Sites, in units of the cell vectors:
Zr (0.000, 0.000, 0.000)
Zr (0.750, 0.250, 0.500)
Nb (0.250, 0.750, 0.500)
Nb (0.500, 0.500, 0.000)
Tl (0.134, 0.625, 0.009)
Tl (0.375, 0.384, 0.509)
Tl (0.616, 0.125, 0.991)
Tl (0.875, 0.866, 0.491)

The value obtained for the total energy is -5.387 eV per atom. The value obtained for the formation energy is 43.5 kJ per mole of atoms. The value obtained for the offset from the most stable computed form is 120 meV/atom. As for the density: 10395 kg/m³.



Na5Tl6Sn | PBE | relaxed

Cell: 7.993 7.993 9.272 Å, 90.00 90.00 144.82°
Sites, in units of the cell vectors:
Na (0.000, 0.000, 0.000)
Na (0.334, 0.666, 0.000)
Na (0.339, 0.661, 0.500)
Na (0.661, 0.339, 0.500)
Na (0.666, 0.334, 0.000)
Tl (0.167, 0.833, 0.256)
Tl (0.167, 0.833, 0.744)
Tl (0.500, 0.500, 0.254)
Tl (0.500, 0.500, 0.746)
Tl (0.833, 0.167, 0.256)
Tl (0.833, 0.167, 0.744)
Sn (0.000, 0.000, 0.500)

The value obtained for the total energy is -2.180 eV per atom. The value obtained for the formation energy is -11.0 kJ per mole of atoms. As for the density: 7104 kg/m³.



Rb3PuAg2Cl8 | PBE | relaxed

Cell: 7.493 7.493 9.910 Å, 90.00 90.00 120.00°
Sites, in units of the cell vectors:
Rb (0.000, 0.000, 0.000)
Rb (0.333, 0.667, 0.620)
Rb (0.667, 0.333, 0.380)
Pu (0.000, 0.000, 0.500)
Ag (0.333, 0.667, 0.175)
Ag (0.667, 0.333, 0.825)
Cl (0.167, 0.333, 0.337)
Cl (0.167, 0.833, 0.337)
Cl (0.333, 0.167, 0.663)
Cl (0.333, 0.667, 0.933)
Cl (0.667, 0.333, 0.067)
Cl (0.667, 0.833, 0.337)
Cl (0.833, 0.167, 0.663)
Cl (0.833, 0.667, 0.663)

The value obtained for the total energy is -4.171 eV per atom. The formation energy without anion corrections comes out at -1477.3 meV/atom. As for the density: 3446 kg/m³.



Pm2DyZn | PBE | relaxed

Cell: 9.444 9.444 9.444 Å, 148.52 148.52 45.12°
Sites, in units of the cell vectors:
Pm (0.000, 0.500, 0.500)
Pm (0.145, 0.145, 0.000)
Pm (0.500, 0.000, 0.500)
Pm (0.855, 0.855, 0.000)
Dy (0.351, 0.351, 0.000)
Dy (0.649, 0.649, 0.000)
Zn (0.250, 0.750, 0.500)
Zn (0.750, 0.250, 0.500)

The value obtained for the total energy is -4.001 eV per atom. The value obtained for the formation energy is -15.1 kJ per mole of atoms. The value obtained for the offset from the most stable computed form is 0 meV/atom. As for the density: 7512 kg/m³.



TcAsBr2 | PBE | relaxed

Cell: 4.671 3.278 5.590 Å, 90.00 112.00 90.00°
Sites, in units of the cell vectors:
Tc (0.000, 0.000, 0.000)
As (0.000, 0.500, 0.500)
Br (0.500, 0.000, 0.500)
Br (0.500, 0.500, 0.000)

The value obtained for the total energy is -3.749 eV per atom. The formation energy without anion corrections comes out at 840.8 meV/atom. The value obtained for the offset from the most stable computed form is 872 meV/atom. As for the density: 6963 kg/m³.



Ac3CeCr2N6 | PBE | relaxed

Cell: 5.972 5.972 7.053 Å, 90.00 90.00 120.00°
Sites, in units of the cell vectors:
Ac (0.000, 0.000, 0.000)
Ac (0.333, 0.667, 0.687)
Ac (0.667, 0.333, 0.313)
Ce (0.000, 0.000, 0.500)
Cr (0.333, 0.667, 0.205)
Cr (0.667, 0.333, 0.795)
N (0.174, 0.348, 0.290)
N (0.174, 0.826, 0.290)
N (0.348, 0.174, 0.710)
N (0.652, 0.826, 0.290)
N (0.826, 0.174, 0.710)
N (0.826, 0.652, 0.710)

The value obtained for the total energy is -8.218 eV per atom. The formation energy without anion corrections comes out at -930.3 meV/atom. As for the density: 7693 kg/m³.



Sm2Al4Ni3Pd | PBE | relaxed

Cell: 4.196 4.196 9.945 Å, 90.00 90.00 90.00°
Sites, in units of the cell vectors:
Sm (0.000, 0.500, 0.248)
Sm (0.500, 0.000, 0.752)
Al (0.000, 0.000, 0.000)
Al (0.000, 0.500, 0.630)
Al (0.500, 0.000, 0.370)
Al (0.500, 0.500, 0.000)
Ni (0.000, 0.500, 0.871)
Ni (0.500, 0.000, 0.129)
Ni (0.500, 0.500, 0.500)
Pd (0.000, 0.000, 0.500)

The value obtained for the total energy is -5.326 eV per atom. The value obtained for the formation energy is -60.9 kJ per mole of atoms. As for the density: 6554 kg/m³.



AsRhSe2 | PBE | relaxed

Cell: 3.157 3.157 7.259 Å, 90.00 90.00 90.00°
Sites, in units of the cell vectors:
As (0.000, 0.000, 0.000)
Rh (0.000, 0.000, 0.500)
Se (0.500, 0.500, 0.287)
Se (0.500, 0.500, 0.713)

The value obtained for the total energy is -4.515 eV per atom. The formation energy without anion corrections comes out at 227.3 meV/atom. As for the density: 7704 kg/m³.



Ti6AlV | PBE | relaxed

Cell: 7.887 7.887 7.887 Å, 33.57 33.57 33.57°
Sites, in units of the cell vectors:
Ti (0.123, 0.123, 0.123)
Ti (0.250, 0.250, 0.250)
Ti (0.372, 0.372, 0.372)
Ti (0.628, 0.628, 0.628)
Ti (0.750, 0.750, 0.750)
Ti (0.877, 0.877, 0.877)
Al (0.500, 0.500, 0.500)
V (0.000, 0.000, 0.000)

The value obtained for the total energy is -7.561 eV per atom. The value obtained for the formation energy is -3.1 kJ per mole of atoms. As for the density: 4537 kg/m³.



CePaTcGe | PBE | relaxed

Cell: 4.816 4.816 4.816 Å, 60.00 60.00 60.00°
Sites, in units of the cell vectors:
Ce (0.000, 0.000, 0.000)
Pa (0.250, 0.250, 0.250)
Tc (0.750, 0.750, 0.750)
Ge (0.500, 0.500, 0.500)

The value obtained for the total energy is -7.622 eV per atom. The value obtained for the formation energy is -1.8 kJ per mole of atoms. As for the density: 11389 kg/m³.



Ho6Tm12Cd | PBE | relaxed

Cell: 8.338 8.338 8.338 Å, 88.84 88.84 88.84°
Sites, in units of the cell vectors:
Ho (0.208, 0.597, 0.762)
Ho (0.238, 0.792, 0.403)
Ho (0.403, 0.238, 0.792)
Ho (0.597, 0.762, 0.208)
Ho (0.762, 0.208, 0.597)
Ho (0.792, 0.403, 0.238)
Tm (0.038, 0.281, 0.936)
Tm (0.064, 0.962, 0.719)
Tm (0.136, 0.320, 0.485)
Tm (0.281, 0.936, 0.038)
Tm (0.320, 0.485, 0.136)
Tm (0.485, 0.136, 0.320)
Tm (0.515, 0.864, 0.680)
Tm (0.680, 0.515, 0.864)
Tm (0.719, 0.064, 0.962)
Tm (0.864, 0.680, 0.515)
Tm (0.936, 0.038, 0.281)
Tm (0.962, 0.719, 0.064)
Cd (0.500, 0.500, 0.500)

The value obtained for the total energy is -4.204 eV per atom. The value obtained for the formation energy is 11.0 kJ per mole of atoms. As for the density: 8968 kg/m³.